# 1
Below is a geometry-optimized NpFe2CoH8 structure, with properties calculated at the PBE-GGA level.

Lattice parameters (Å, degrees): 4.0176 4.0191 5.4225 96.00 96.01 96.91
Atoms (fractional coordinates):
1 Np 0.0000 0.0000 0.0000
2 Fe 0.3789 0.3789 0.2192
3 Fe 0.6211 0.6211 0.7808
4 Co 0.0000 0.0000 0.5000
5 H 0.1207 0.6705 0.3077
6 H 0.3043 0.3052 0.5090
7 H 0.3302 0.8803 0.6926
8 H 0.3578 0.6361 0.9981
9 H 0.6422 0.3639 0.0019
10 H 0.6698 0.1197 0.3074
11 H 0.6957 0.6948 0.4910
12 H 0.8793 0.3295 0.6923

Results
* Fermi-level density of states: 7.98 states/eV/f.u.
* final energy: -5.254 eV/atom



# 2
Below is a geometry-optimized Nd3CdAu structure, with properties calculated at the PBE-GGA level.

Lattice parameters (Å, degrees): 9.2204 9.2204 11.6916 117.48 117.48 44.43
Atoms (fractional coordinates):
1 Nd 0.1378 0.7394 0.5414
2 Nd 0.1776 0.2103 0.7852
3 Nd 0.2103 0.1776 0.2852
4 Nd 0.2606 0.8622 0.9586
5 Nd 0.3706 0.3947 0.2305
6 Nd 0.3947 0.3706 0.7305
7 Nd 0.6053 0.6294 0.2695
8 Nd 0.6294 0.6053 0.7695
9 Nd 0.7394 0.1378 0.0414
10 Nd 0.7897 0.8224 0.7148
11 Nd 0.8224 0.7897 0.2148
12 Nd 0.8622 0.2606 0.4586
13 Cd 0.1472 0.6145 0.9828
14 Cd 0.3855 0.8528 0.5172
15 Cd 0.6145 0.1472 0.4828
16 Cd 0.8528 0.3855 0.0172
17 Au 0.0000 0.5000 0.5000
18 Au 0.1246 0.8754 0.2500
19 Au 0.5000 0.0000 0.0000
20 Au 0.8754 0.1246 0.7500

Results
* Fermi-level density of states: 6.54 states/eV/f.u.
* E_form: -301 meV per atom



# 3
Below is a geometry-optimized Th4Tc2Hg structure, with properties calculated at the PBE-GGA level.

Lattice parameters (Å, degrees): 7.5890 7.5890 7.7267 106.59 106.59 71.73
Atoms (fractional coordinates):
1 Th 0.0000 0.0000 0.0000
2 Th 0.0012 0.0012 0.5253
3 Th 0.0221 0.4373 0.3825
4 Th 0.4373 0.0221 0.3825
5 Th 0.4459 0.9844 0.8769
6 Th 0.4805 0.4805 0.9889
7 Th 0.4926 0.4926 0.5278
8 Th 0.9844 0.4459 0.8769
9 Tc 0.2030 0.7055 0.7387
10 Tc 0.2644 0.2644 0.6606
11 Tc 0.2816 0.2816 0.1537
12 Tc 0.7055 0.2030 0.7387
13 Hg 0.7675 0.7675 0.6342
14 Hg 0.7706 0.7706 0.1658

Results
* Fermi-level density of states: 5.56 states/eV/f.u.
* distance to the lowest polymorph of the same formula: 24 meV per atom
* E_form: -119 meV per atom



# 4
Below is a geometry-optimized Zn4Cu2Au5 structure, with properties calculated at the PBE-GGA level.

Lattice parameters (Å, degrees): 7.1250 16.7587 2.9499 90.00 90.00 90.00
Atoms (fractional coordinates):
1 Zn 0.1423 0.1652 0.0000
2 Zn 0.2127 0.4346 0.0000
3 Zn 0.2873 0.9346 0.0000
4 Zn 0.3577 0.6652 0.0000
5 Zn 0.6423 0.3348 0.0000
6 Zn 0.7127 0.0654 0.0000
7 Zn 0.7873 0.5654 0.0000
8 Zn 0.8577 0.8348 0.0000
9 Cu 0.0066 0.3073 0.0000
10 Cu 0.4934 0.8073 0.0000
11 Cu 0.5066 0.1927 0.0000
12 Cu 0.9934 0.6927 0.0000
13 Au 0.0000 0.0000 0.5000
14 Au 0.1295 0.5699 0.5000
15 Au 0.1723 0.8041 0.5000
16 Au 0.3277 0.3041 0.5000
17 Au 0.3705 0.0699 0.5000
18 Au 0.5000 0.5000 0.5000
19 Au 0.6295 0.9301 0.5000
20 Au 0.6723 0.6959 0.5000
21 Au 0.8277 0.1959 0.5000
22 Au 0.8705 0.4301 0.5000

Results
* Fermi-level density of states: 4.32 states/eV/f.u.
* distance to the lowest polymorph of the same formula: 0 meV per atom
* E_form: -142 meV per atom



# 5
Below is a geometry-optimized Y2ZrAg structure, with properties calculated at the PBE-GGA level.

Lattice parameters (Å, degrees): 6.1916 6.1916 6.1916 145.40 129.67 62.52
Atoms (fractional coordinates):
1 Y 0.2252 0.2252 0.0000
2 Y 0.7748 0.7748 0.0000
3 Zr 0.5000 0.0000 0.5000
4 Ag 0.0000 0.5000 0.5000

Results
* Fermi-level density of states: 4.32 states/eV/f.u.
* distance to the lowest polymorph of the same formula: 173 meV per atom
* E_form: 58 meV per atom



# 6
Below is a geometry-optimized Zr2PbW structure, with properties calculated at the PBE-GGA level.

Lattice parameters (Å, degrees): 9.4536 9.4536 9.4536 20.34 20.34 20.34
Atoms (fractional coordinates):
1 Zr 0.2395 0.2395 0.2395
2 Zr 0.7605 0.7605 0.7605
3 Pb 0.0000 0.0000 0.0000
4 W 0.5000 0.5000 0.5000

Results
* Fermi-level density of states: 2.44 states/eV/f.u.
* E_form: 147 meV per atom



# 7
Below is a geometry-optimized BeZnI3 structure, with properties calculated at the PBE-GGA level.

Lattice parameters (Å, degrees): 5.3177 5.3177 5.3177 90.00 90.00 90.00
Atoms (fractional coordinates):
1 Be 0.0000 0.0000 0.0000
2 Zn 0.5000 0.5000 0.5000
3 I 0.0000 0.0000 0.5000
4 I 0.0000 0.5000 0.0000
5 I 0.5000 0.0000 0.0000

Results
* Fermi-level density of states: 5.66 states/eV/f.u.
* formation energy (no corrections): 177 meV per atom
* distance to the lowest polymorph of the same formula: 0 meV per atom



# 8
Below is a geometry-optimized NdLu3B structure, with properties calculated at the PBE-GGA level.

Lattice parameters (Å, degrees): 5.0704 5.0704 5.0704 90.00 90.00 90.00
Atoms (fractional coordinates):
1 Nd 0.0000 0.0000 0.0000
2 Lu 0.0000 0.5000 0.5000
3 Lu 0.5000 0.0000 0.5000
4 Lu 0.5000 0.5000 0.0000
5 B 0.5000 0.5000 0.5000

Results
* Fermi-level density of states: 5.89 states/eV/f.u.
* E_form: 22 meV per atom